Compound: YAsI2Br
Source: Alexandria via LeMat-Bulk
Functional: PBEsol
Structure: relaxed

Lattice parameters (Å, degrees): 5.5690 5.5690 5.5020 90.00 90.00 90.00
Space group P4/mmm (No. 123)
Asymmetric unit:
Y1 0.0000 0.0000 0.0000 [1 per cell]
As1 0.0000 0.0000 0.5000 [1 per cell]
I1 0.0000 0.5000 0.5000 [2 per cell]
Br1 0.5000 0.5000 0.0000 [1 per cell]

Output
formation energy (no corrections): -1.58 eV per formula unit
M_tot: 0.0 μB/cell